1.
# PBE LiInRe2, relaxed
# Energy of formation, eV per atom: 0.556
data_LiInRe2
_chemical_formula_sum 'Li2 In2 Re4'
_symmetry_space_group_name_H-M 'C m m m'
_symmetry_Int_Tables_number 65
_symmetry_space_group_name_Hall '-C 2 2'
_cell_length_a 5.190
_cell_length_b 9.148
_cell_length_c 2.716
_cell_angle_alpha 90.00
_cell_angle_beta 90.00
_cell_angle_gamma 90.00
loop_
_atom_site_label
_atom_site_fract_x
_atom_site_fract_y
_atom_site_fract_z
_atom_site_occupancy
Li1 0.000 0.000 0.000 1
In1 0.000 0.500 0.000 1
Re1 0.250 0.250 0.500 1


2.
# PBE La2HoPd2, relaxed
# Energy of formation, eV per atom: -0.682
data_La2HoPd2
_chemical_formula_sum 'La4 Ho2 Pd4'
_symmetry_space_group_name_H-M 'P 4/m b m'
_symmetry_Int_Tables_number 127
_symmetry_space_group_name_Hall '-P 4 2ab'
_cell_length_a 8.003
_cell_length_b 8.003
_cell_length_c 4.129
_cell_angle_alpha 90.00
_cell_angle_beta 90.00
_cell_angle_gamma 90.00
loop_
_atom_site_label
_atom_site_fract_x
_atom_site_fract_y
_atom_site_fract_z
_atom_site_occupancy
La1 0.169 0.331 0.000 1
Ho1 0.000 0.000 0.500 1
Pd1 0.132 0.632 0.500 1


3.
# PBE PuPaSeN2, relaxed
# E_form (uncorrected), eV/f.u.: -8.000
data_PuPaSeN2
_chemical_formula_sum 'Pu2 Pa2 Se2 N4'
_symmetry_space_group_name_H-M 'I 4 m m'
_symmetry_Int_Tables_number 107
_symmetry_space_group_name_Hall 'I 4 -2'
_cell_length_a 3.870
_cell_length_b 3.870
_cell_length_c 12.174
_cell_angle_alpha 90.00
_cell_angle_beta 90.00
_cell_angle_gamma 90.00
loop_
_atom_site_label
_atom_site_fract_x
_atom_site_fract_y
_atom_site_fract_z
_atom_site_occupancy
Pu1 0.000 0.000 0.000 1
Pa1 0.000 0.000 0.309 1
Se1 0.000 0.000 0.652 1
N1 0.000 0.500 0.395 1